Model A:
A relaxed structure of PIrSN, computed with PBE.

The structure in POSCAR format:
```
PIrSN
1.0
3.274 -1.506 0.000
3.274 1.506 0.000
-1.105 0.000 5.999
P Ir S N
1 1 1 1
direct
0.000 0.000 0.000 P
0.732 0.732 0.196 Ir
0.011 0.011 0.512 S
0.911 0.911 0.733 N
```

Values from the calculation:
Theoretical density, kg/m3: 7558
Crystal system: monoclinic
Symmetry: Cm, No. 8

Model B:
A relaxed structure of PIrSN, computed with PBE.

The structure in POSCAR format:
```
PIrSN
1.0
1.824 1.053 5.469
-1.824 1.053 5.469
0.000 -2.106 5.469
P Ir S N
1 1 1 1
direct
0.000 0.000 0.000 P
0.402 0.402 0.402 Ir
0.808 0.808 0.808 S
0.903 0.903 0.903 N
```

Values from the calculation:
Theoretical density, kg/m3: 7095
Crystal system: trigonal
Symmetry: R3m, No. 160

Model C:
A relaxed structure of PIrSN, computed with PBE.

The structure in POSCAR format:
```
PIrSN
1.0
4.276 -1.467 0.000
4.276 1.467 0.000
-2.539 0.000 4.401
P Ir S N
1 1 1 1
direct
0.000 0.000 0.000 P
0.256 0.256 0.888 Ir
0.349 0.349 0.382 S
0.157 0.157 0.386 N
```

Values from the calculation:
Theoretical density, kg/m3: 8099
Crystal system: monoclinic
Symmetry: Cm, No. 8

Model D:
A relaxed structure of PIrSN, computed with PBE.

The structure in POSCAR format:
```
PIrSN
1.0
3.374 -1.388 0.000
3.374 1.388 0.000
-0.420 0.000 7.382
P Ir S N
1 1 1 1
direct
0.000 0.000 0.000 P
0.027 0.027 0.307 Ir
0.741 0.741 0.468 S
0.497 0.497 0.879 N
```

Values from the calculation:
Theoretical density, kg/m3: 6466
Crystal system: monoclinic
Symmetry: Cm, No. 8

model B (109 meV per atom below the next structure)

Model A:
A relaxed structure of PIrSN, computed with PBE.

The structure in POSCAR format:
```
PIrSN
1.0
-1.366 1.585 7.513
1.366 -1.585 7.513
1.366 1.585 -7.513
P Ir S N
1 1 1 1
direct
0.000 0.000 0.000 P
0.626 0.126 0.500 Ir
0.233 0.233 0.000 S
0.940 0.440 0.500 N
```

Values from the calculation:
Theoretical density, kg/m3: 6874
Crystal system: orthorhombic
Symmetry: Imm2, No. 44

Model B:
A relaxed structure of PIrSN, computed with PBE.

The structure in POSCAR format:
```
PIrSN
1.0
2.757 0.000 0.000
1.011 3.390 0.000
1.358 0.995 6.625
P Ir S N
1 1 1 1
direct
0.000 0.000 0.000 P
0.995 0.409 0.252 Ir
0.259 0.757 0.447 S
0.553 0.045 0.861 N
```

Values from the calculation:
Theoretical density, kg/m3: 7222
Crystal system: triclinic
Symmetry: P1, No. 1

Model C:
A relaxed structure of PIrSN, computed with PBE.

The structure in POSCAR format:
```
PIrSN
1.0
2.795 0.000 0.000
1.360 3.843 0.000
1.265 0.742 5.061
P Ir S N
1 1 1 1
direct
0.000 0.000 0.000 P
0.091 0.534 0.319 Ir
0.267 0.917 0.574 S
0.379 0.253 0.997 N
```

Values from the calculation:
Theoretical density, kg/m3: 8226
Crystal system: triclinic
Symmetry: P1, No. 1

model A (75 meV per atom below the next structure)